--- 1 ---
Ac2Ge3Ru | GGA-PBE | relaxed Values from VASP.

Computed properties:
* DOS at the Fermi energy: 8.767 states/eV/cell
* crystal system: orthorhombic
* total moment: 0.00 μB/atom

The structure in Quantum ESPRESSO input format:
```
&SYSTEM
  ibrav = 0, nat = 12, ntyp = 3
/
ATOMIC_SPECIES
Ru 101.07 Ru.upf
Ge 72.64 Ge.upf
Ac 227.00 Ac.upf
ATOMIC_POSITIONS crystal
Ru 0.666 0.666 0.333
Ru 0.334 0.334 0.667
Ge 0.169 0.659 0.829
Ge 0.341 0.831 0.171
Ge 0.171 0.171 0.342
Ge 0.829 0.829 0.658
Ge 0.831 0.341 0.171
Ge 0.659 0.169 0.829
Ac 0.250 0.750 0.500
Ac 0.750 0.250 0.500
Ac 0.743 0.743 0.000
Ac 0.257 0.257 0.000
CELL_PARAMETERS angstrom
5.976 0.807 -1.862
-1.183 5.913 -1.862
-0.592 -0.830 8.751
```

---

--- 2 ---
Ac2Ge3Ru | GGA-PBE | relaxed Values from VASP.

Computed properties:
* DOS at the Fermi energy: 3.491 states/eV/cell
* crystal system: orthorhombic
* total moment: 0.00 μB/atom

The structure in Quantum ESPRESSO input format:
```
&SYSTEM
  ibrav = 0, nat = 6, ntyp = 3
/
ATOMIC_SPECIES
Ru 101.07 Ru.upf
Ge 72.64 Ge.upf
Ac 227.00 Ac.upf
ATOMIC_POSITIONS crystal
Ru 0.500 0.500 0.321
Ge 0.500 0.000 0.179
Ge 0.500 0.500 0.651
Ge 0.500 0.000 0.836
Ac 0.000 0.500 0.015
Ac 0.000 0.000 0.498
CELL_PARAMETERS angstrom
-3.866 -2.279 -0.684
-0.017 -1.238 4.225
-3.975 6.202 1.802
```

---

On energetic grounds, 1 is preferred over the next structure by 2.7 kJ/mol of atoms.

---

--- 1 ---
Ac3Ge3Ru | GGA-PBE | relaxed Values from VASP.

Computed properties:
* DOS at the Fermi energy: 10.470 states/eV/cell
* crystal system: monoclinic
* total moment: 0.06 μB/atom

The structure in Quantum ESPRESSO input format:
```
&SYSTEM
  ibrav = 0, nat = 14, ntyp = 3
/
ATOMIC_SPECIES
Ac 227.00 Ac.upf
Ge 72.64 Ge.upf
Ru 101.07 Ru.upf
ATOMIC_POSITIONS crystal
Ac 0.474 0.669 0.383
Ac 0.748 0.735 0.770
Ac 0.526 0.331 0.617
Ac 0.401 0.281 0.918
Ac 0.252 0.265 0.230
Ac 0.599 0.719 0.082
Ge 0.842 0.769 0.548
Ge 0.890 0.146 0.074
Ge 0.158 0.231 0.452
Ge 0.061 0.125 0.753
Ge 0.939 0.875 0.247
Ge 0.110 0.854 0.926
Ru 0.761 0.060 0.418
Ru 0.239 0.940 0.582
CELL_PARAMETERS angstrom
-4.308 -1.259 -0.747
-0.800 -6.227 1.251
-5.299 2.206 12.979
```

---

--- 2 ---
Ac3Ge3Ru | GGA-PBE | relaxed Values from VASP.

Computed properties:
* DOS at the Fermi energy: 17.476 states/eV/cell
* crystal system: hexagonal
* total moment: 0.00 μB/atom

The structure in Quantum ESPRESSO input format:
```
&SYSTEM
  ibrav = 0, nat = 14, ntyp = 3
/
ATOMIC_SPECIES
Ac 227.00 Ac.upf
Ge 72.64 Ge.upf
Ru 101.07 Ru.upf
ATOMIC_POSITIONS crystal
Ac 0.250 0.614 0.910
Ac 0.750 0.910 0.295
Ac 0.750 0.705 0.614
Ac 0.750 0.386 0.090
Ac 0.250 0.295 0.386
Ac 0.250 0.090 0.705
Ge 0.250 0.905 0.295
Ge 0.750 0.610 0.905
Ge 0.750 0.295 0.390
Ge 0.750 0.095 0.705
Ge 0.250 0.705 0.610
Ge 0.250 0.390 0.095
Ru 0.750 0.333 0.667
Ru 0.250 0.667 0.333
CELL_PARAMETERS angstrom
-2.455 3.967 -4.279
-7.595 -5.128 -0.397
0.580 6.876 6.043
```

---

On energetic grounds, 1 is preferred over the next structure by 25.8 kJ/mol of atoms.

---

--- 1 ---
Ac2GeS5 | GGA-PBE | relaxed Values from VASP.

Computed properties:
* crystal system: tetragonal
* total moment: 0.00 μB/atom

The structure in Quantum ESPRESSO input format:
```
&SYSTEM
  ibrav = 0, nat = 8, ntyp = 3
/
ATOMIC_SPECIES
Ge 72.64 Ge.upf
Ac 227.00 Ac.upf
S 32.06 S.upf
ATOMIC_POSITIONS crystal
Ge 0.966 0.966 0.932
Ac 0.750 0.250 0.500
Ac 0.250 0.750 0.500
S 0.259 0.259 0.051
S 0.791 0.259 0.051
S 0.259 0.791 0.051
S 0.791 0.791 0.051
S 0.709 0.709 0.419
CELL_PARAMETERS angstrom
-0.746 -5.704 3.865
6.520 0.671 2.251
-4.248 4.887 0.178
```

---

--- 2 ---
Ac2GeS5 | GGA-PBE | relaxed Values from VASP.

Computed properties:
* DOS at the Fermi energy: 0.000 states/eV/cell
* crystal system: monoclinic
* total moment: 0.00 μB/atom

The structure in Quantum ESPRESSO input format:
```
&SYSTEM
  ibrav = 0, nat = 32, ntyp = 3
/
ATOMIC_SPECIES
Ge 72.64 Ge.upf
S 32.06 S.upf
Ac 227.00 Ac.upf
ATOMIC_POSITIONS crystal
Ge 0.528 0.415 0.304
Ge 0.972 0.915 0.696
Ge 0.028 0.085 0.304
Ge 0.472 0.585 0.696
S 0.765 0.055 0.587
S 0.039 0.706 0.627
S 0.735 0.555 0.413
S 0.340 0.593 0.292
S 0.660 0.407 0.708
S 0.051 0.379 0.889
S 0.449 0.879 0.111
S 0.961 0.294 0.373
S 0.949 0.621 0.111
S 0.999 0.884 0.889
S 0.840 0.907 0.292
S 0.499 0.616 0.889
S 0.001 0.116 0.111
S 0.461 0.206 0.373
S 0.160 0.093 0.708
S 0.501 0.384 0.111
S 0.551 0.121 0.889
S 0.265 0.445 0.587
S 0.235 0.945 0.413
S 0.539 0.794 0.627
Ac 0.266 0.127 0.975
Ac 0.058 0.637 0.374
Ac 0.442 0.137 0.626
Ac 0.234 0.627 0.025
Ac 0.942 0.363 0.626
Ac 0.766 0.373 0.975
Ac 0.734 0.873 0.025
Ac 0.558 0.863 0.374
CELL_PARAMETERS angstrom
8.569 0.000 -2.431
0.000 8.959 0.000
-0.597 0.000 11.899
```

---

On energetic grounds, 2 is preferred over the next structure by 18.8 kJ/mol of atoms.

---

--- 1 ---
Ac2GeS | GGA-PBE | relaxed Values from VASP.

Computed properties:
* DOS at the Fermi energy: 4.849 states/eV/cell
* crystal system: orthorhombic
* total moment: 0.00 μB/atom

The structure in Quantum ESPRESSO input format:
```
&SYSTEM
  ibrav = 0, nat = 16, ntyp = 3
/
ATOMIC_SPECIES
S 32.06 S.upf
Ac 227.00 Ac.upf
Ge 72.64 Ge.upf
ATOMIC_POSITIONS crystal
S 0.250 0.000 0.875
S 0.750 0.500 0.375
S 0.750 0.000 0.125
S 0.250 0.500 0.625
Ac 0.250 0.000 0.124
Ac 0.750 0.500 0.624
Ac 0.250 0.500 0.376
Ac 0.250 0.500 0.874
Ac 0.750 0.500 0.126
Ac 0.750 0.000 0.374
Ac 0.750 0.000 0.876
Ac 0.250 0.000 0.626
Ge 0.250 0.000 0.375
Ge 0.750 0.500 0.875
Ge 0.750 0.000 0.625
Ge 0.250 0.500 0.125
CELL_PARAMETERS angstrom
6.312 0.000 0.000
0.000 6.307 -0.244
0.000 0.494 12.719
```

---

--- 2 ---
Ac2GeS | GGA-PBE | relaxed Values from VASP.

Computed properties:
* DOS at the Fermi energy: 2.675 states/eV/cell
* crystal system: cubic
* total moment: 0.00 μB/atom

The structure in Quantum ESPRESSO input format:
```
&SYSTEM
  ibrav = 0, nat = 4, ntyp = 3
/
ATOMIC_SPECIES
Ge 72.64 Ge.upf
S 32.06 S.upf
Ac 227.00 Ac.upf
ATOMIC_POSITIONS crystal
Ge 0.500 0.500 0.500
S 0.000 0.000 0.000
Ac 0.250 0.250 0.250
Ac 0.750 0.750 0.750
CELL_PARAMETERS angstrom
5.422 0.000 0.000
2.711 4.696 0.000
2.711 1.565 4.427
```

---

--- 3 ---
Ac2GeS | GGA-PBE | relaxed Values from VASP.

Computed properties:
* DOS at the Fermi energy: 2.312 states/eV/cell
* crystal system: trigonal
* total moment: 0.00 μB/atom

The structure in Quantum ESPRESSO input format:
```
&SYSTEM
  ibrav = 0, nat = 4, ntyp = 3
/
ATOMIC_SPECIES
Ac 227.00 Ac.upf
S 32.06 S.upf
Ge 72.64 Ge.upf
ATOMIC_POSITIONS crystal
Ac 0.080 0.080 0.759
Ac 0.255 0.255 0.236
S 0.497 0.497 0.508
Ge 0.667 0.667 0.998
CELL_PARAMETERS angstrom
-3.686 -2.263 -0.968
-0.272 -4.315 0.978
-4.186 -0.457 6.863
```

---

On energetic grounds, 1 is preferred over the next structure by 14.3 kJ/mol of atoms.

---

--- 1 ---
Ac2GeS | GGA-PBE | relaxed Values from VASP.

Computed properties:
* DOS at the Fermi energy: 2.431 states/eV/cell
* crystal system: tetragonal
* total moment: 0.00 μB/atom

The structure in Quantum ESPRESSO input format:
```
&SYSTEM
  ibrav = 0, nat = 4, ntyp = 3
/
ATOMIC_SPECIES
S 32.06 S.upf
Ac 227.00 Ac.upf
Ge 72.64 Ge.upf
ATOMIC_POSITIONS crystal
S 0.500 0.500 0.500
Ac 0.000 0.000 0.255
Ac 0.000 0.000 0.745
Ge 0.500 0.500 0.000
CELL_PARAMETERS angstrom
3.732 0.000 0.000
0.000 3.732 0.000
0.000 0.000 7.909
```

---

--- 2 ---
Ac2GeS | GGA-PBE | relaxed Values from VASP.

Computed properties:
* DOS at the Fermi energy: 1.652 states/eV/cell
* crystal system: trigonal
* total moment: 0.00 μB/atom

The structure in Quantum ESPRESSO input format:
```
&SYSTEM
  ibrav = 0, nat = 4, ntyp = 3
/
ATOMIC_SPECIES
Ge 72.64 Ge.upf
Ac 227.00 Ac.upf
S 32.06 S.upf
ATOMIC_POSITIONS crystal
Ge 0.000 0.500 0.500
Ac 0.499 0.250 0.748
Ac 0.501 0.751 0.252
S 0.000 0.000 0.000
CELL_PARAMETERS angstrom
-3.949 -0.550 2.127
3.787 -1.697 1.790
2.446 7.122 1.581
```

---

On energetic grounds, 2 is preferred over the next structure by 23.4 kJ/mol of atoms.

---

--- 1 ---
AcGeSb2 | GGA-PBE | relaxed Values from VASP.

Computed properties:
* DOS at the Fermi energy: 2.905 states/eV/cell
* crystal system: cubic
* total moment: 0.00 μB/atom

The structure in Quantum ESPRESSO input format:
```
&SYSTEM
  ibrav = 0, nat = 4, ntyp = 3
/
ATOMIC_SPECIES
Ge 72.64 Ge.upf
Ac 227.00 Ac.upf
Sb 121.76 Sb.upf
ATOMIC_POSITIONS crystal
Ge 0.500 0.500 0.500
Ac 0.000 0.000 0.000
Sb 0.250 0.250 0.250
Sb 0.750 0.750 0.750
CELL_PARAMETERS angstrom
-4.931 0.491 -2.451
-1.809 -3.974 -3.391
-4.192 -3.256 1.546
```

---

--- 2 ---
AcGeSb2 | GGA-PBE | relaxed Values from VASP.

Computed properties:
* DOS at the Fermi energy: 4.852 states/eV/cell
* crystal system: trigonal
* total moment: 0.00 μB/atom

The structure in Quantum ESPRESSO input format:
```
&SYSTEM
  ibrav = 0, nat = 4, ntyp = 3
/
ATOMIC_SPECIES
Sb 121.76 Sb.upf
Ac 227.00 Ac.upf
Ge 72.64 Ge.upf
ATOMIC_POSITIONS crystal
Sb 0.261 0.261 0.216
Sb 0.739 0.739 0.784
Ac 0.500 0.500 0.500
Ge 0.000 0.000 0.000
CELL_PARAMETERS angstrom
-0.729 3.387 2.719
0.449 -0.531 4.349
7.391 2.984 1.832
```

---

--- 3 ---
AcGeSb2 | GGA-PBE | relaxed Values from VASP.

Computed properties:
* DOS at the Fermi energy: 2.415 states/eV/cell
* crystal system: tetragonal
* total moment: 0.00 μB/atom

The structure in Quantum ESPRESSO input format:
```
&SYSTEM
  ibrav = 0, nat = 4, ntyp = 3
/
ATOMIC_SPECIES
Sb 121.76 Sb.upf
Ac 227.00 Ac.upf
Ge 72.64 Ge.upf
ATOMIC_POSITIONS crystal
Sb 0.000 0.000 0.773
Sb 0.000 0.000 0.227
Ac 0.500 0.500 0.500
Ge 0.500 0.500 0.000
CELL_PARAMETERS angstrom
4.244 0.000 0.000
0.000 4.244 0.000
0.000 0.000 6.470
```

---

--- 4 ---
AcGeSb2 | GGA-PBE | relaxed Values from VASP.

Computed properties:
* DOS at the Fermi energy: 1.907 states/eV/cell
* crystal system: tetragonal
* total moment: 0.00 μB/atom

The structure in Quantum ESPRESSO input format:
```
&SYSTEM
  ibrav = 0, nat = 4, ntyp = 3
/
ATOMIC_SPECIES
Sb 121.76 Sb.upf
Ac 227.00 Ac.upf
Ge 72.64 Ge.upf
ATOMIC_POSITIONS crystal
Sb 0.000 0.000 0.500
Sb 0.000 0.500 0.000
Ac 0.500 0.000 0.000
Ge 0.500 0.500 0.500
CELL_PARAMETERS angstrom
-1.238 -0.566 -4.668
4.283 -1.973 -0.896
-1.790 -4.340 1.001
```

---

On energetic grounds, 4 is preferred over the next structure by 9.8 kJ/mol of atoms.